{
  "formula": "Ge19Sb4I4",
  "functional": "GGA-PBE",
  "state": "optimized geometry",
  "lattice_angstrom": [[11.0669, 0.0000, 0.0000], [0.0000, 11.0669, 0.0000], [0.0000, 0.0000, 11.0669]],
  "species": ["Ge", "Ge", "Ge", "Ge", "Ge", "Ge", "Ge", "Ge", "Ge", "Ge", "Ge", "Ge", "Ge", "Ge", "Ge", "Ge", "Ge", "Ge", "Ge", "Ge", "Ge", "Ge", "Ge", "Ge", "Ge", "Ge", "Ge", "Ge", "Ge", "Ge", "Ge", "Ge", "Ge", "Ge", "Ge", "Ge", "Ge", "Ge", "Sb", "Sb", "Sb", "Sb", "Sb", "Sb", "Sb", "Sb", "I", "I", "I", "I", "I", "I", "I", "I"],
  "frac_coords": [[0.0000, 0.2500, 0.5000], [0.0000, 0.7500, 0.5000], [0.0096, 0.1149, 0.6848], [0.0096, 0.8851, 0.3152], [0.1149, 0.3152, 0.9904], [0.1149, 0.6848, 0.0096], [0.1777, 0.1777, 0.8223], [0.1777, 0.8223, 0.1777], [0.1848, 0.3851, 0.4904], [0.1848, 0.6149, 0.5096], [0.2500, 0.5000, 0.0000], [0.3152, 0.0096, 0.8851], [0.3152, 0.9904, 0.1149], [0.3223, 0.3223, 0.3223], [0.3223, 0.6777, 0.6777], [0.3851, 0.4904, 0.1848], [0.3851, 0.5096, 0.8152], [0.4904, 0.1848, 0.3851], [0.4904, 0.8152, 0.6149], [0.5000, 0.0000, 0.2500], [0.5000, 0.0000, 0.7500], [0.5096, 0.1848, 0.6149], [0.5096, 0.8152, 0.3851], [0.6149, 0.4904, 0.8152], [0.6149, 0.5096, 0.1848], [0.6777, 0.3223, 0.6777], [0.6777, 0.6777, 0.3223], [0.6848, 0.0096, 0.1149], [0.6848, 0.9904, 0.8851], [0.7500, 0.5000, 0.0000], [0.8152, 0.3851, 0.5096], [0.8152, 0.6149, 0.4904], [0.8223, 0.1777, 0.1777], [0.8223, 0.8223, 0.8223], [0.8851, 0.3152, 0.0096], [0.8851, 0.6848, 0.9904], [0.9904, 0.1149, 0.3152], [0.9904, 0.8851, 0.6848], [0.1839, 0.1839, 0.1839], [0.1839, 0.8161, 0.8161], [0.3161, 0.3161, 0.6839], [0.3161, 0.6839, 0.3161], [0.6839, 0.3161, 0.3161], [0.6839, 0.6839, 0.6839], [0.8161, 0.1839, 0.8161], [0.8161, 0.8161, 0.1839], [0.0000, 0.0000, 0.0000], [0.0000, 0.5000, 0.2500], [0.0000, 0.5000, 0.7500], [0.2500, 0.0000, 0.5000], [0.5000, 0.2500, 0.0000], [0.5000, 0.5000, 0.5000], [0.5000, 0.7500, 0.0000], [0.7500, 0.0000, 0.5000]],
  "density_g_cm3": 5.819,
  "magmom_total_mub_per_atom": 0.000,
  "final_energy_ev_per_cell": -223.62,
  "spacegroup": "P-43n, No. 218"
}

{
  "formula": "Be6NbFe6",
  "functional": "GGA-PBE",
  "state": "optimized geometry",
  "lattice_angstrom": [[-2.1804, 3.8053, 3.8747], [2.1804, -3.8053, 3.8747], [2.1804, 3.8053, -3.8747]],
  "species": ["Be", "Be", "Be", "Be", "Be", "Be", "Nb", "Fe", "Fe", "Fe", "Fe", "Fe", "Fe"],
  "frac_coords": [[0.0000, 0.0000, 0.5000], [0.0000, 0.5000, 0.0000], [0.2288, 0.2288, 0.0000], [0.5000, 0.0000, 0.0000], [0.5000, 0.5000, 0.5000], [0.7712, 0.7712, 0.0000], [0.0000, 0.5000, 0.5000], [0.1962, 0.0000, 0.1962], [0.3509, 0.5000, 0.8509], [0.3556, 0.8556, 0.5000], [0.6444, 0.1444, 0.5000], [0.6491, 0.5000, 0.1491], [0.8038, 0.0000, 0.8038]],
  "density_g_cm3": 6.225,
  "ef_ev_per_atom": -0.19,
  "magmom_total_mub_per_atom": 0.684,
  "spacegroup": "Immm, No. 71"
}

{
  "formula": "Cs2YCoTe",
  "functional": "GGA-PBE",
  "state": "optimized geometry",
  "lattice_angstrom": [[5.7716, 0.0000, 0.0000], [0.0000, 5.7716, 0.0000], [0.0000, 0.0000, 5.3350]],
  "species": ["Cs", "Cs", "Y", "Co", "Te"],
  "frac_coords": [[0.0000, 0.5000, 0.0000], [0.5000, 0.0000, 0.0000], [0.0000, 0.0000, 0.5000], [0.0000, 0.0000, 0.0000], [0.5000, 0.5000, 0.5000]],
  "density_g_cm3": 5.057,
  "magmom_total_mub_per_atom": 0.017,
  "final_energy_ev_per_cell": -17.15,
  "spacegroup": "P4/mmm, No. 123"
}

{
  "formula": "BaAl2Ga4",
  "functional": "GGA-PBE",
  "state": "optimized geometry",
  "lattice_angstrom": [[4.3983, 0.0000, 0.0000], [0.0000, 4.4404, 0.0000], [0.0000, 0.0000, 16.2235]],
  "species": ["Ba", "Ba", "Al", "Al", "Al", "Al", "Ga", "Ga", "Ga", "Ga", "Ga", "Ga", "Ga", "Ga"],
  "frac_coords": [[0.0000, 0.0000, 0.0000], [0.5000, 0.5000, 0.5000], [0.0000, 0.5000, 0.1740], [0.0000, 0.5000, 0.8260], [0.5000, 0.0000, 0.3260], [0.5000, 0.0000, 0.6740], [0.0000, 0.0000, 0.4178], [0.0000, 0.0000, 0.5822], [0.0000, 0.5000, 0.3296], [0.0000, 0.5000, 0.6704], [0.5000, 0.0000, 0.1704], [0.5000, 0.0000, 0.8296], [0.5000, 0.5000, 0.0822], [0.5000, 0.5000, 0.9178]],
  "density_g_cm3": 4.928,
  "ef_ev_per_atom": -0.19,
  "magmom_total_mub_per_atom": 0.000,
  "spacegroup": "Immm, No. 71"
}

{
  "formula": "Sr3Ga2Pt3",
  "functional": "GGA-PBE",
  "state": "optimized geometry",
  "lattice_angstrom": [[8.1848, 0.0000, 0.0000], [0.0000, 15.3078, 0.0000], [0.0000, 0.0000, 6.2559]],
  "species": ["Sr", "Sr", "Sr", "Sr", "Sr", "Sr", "Sr", "Sr", "Sr", "Sr", "Sr", "Sr", "Ga", "Ga", "Ga", "Ga", "Ga", "Ga", "Ga", "Ga", "Pt", "Pt", "Pt", "Pt", "Pt", "Pt", "Pt", "Pt", "Pt", "Pt", "Pt", "Pt"],
  "frac_coords": [[0.0230, 0.1063, 0.1429], [0.0230, 0.3937, 0.1429], [0.1674, 0.2500, 0.6001], [0.3326, 0.7500, 0.1001], [0.4770, 0.6063, 0.6429], [0.4770, 0.8937, 0.6429], [0.5230, 0.1063, 0.3571], [0.5230, 0.3937, 0.3571], [0.6674, 0.2500, 0.8999], [0.8326, 0.7500, 0.3999], [0.9770, 0.6063, 0.8571], [0.9770, 0.8937, 0.8571], [0.1351, 0.5964, 0.3749], [0.1351, 0.9036, 0.3749], [0.3649, 0.0964, 0.8749], [0.3649, 0.4036, 0.8749], [0.6351, 0.5964, 0.1251], [0.6351, 0.9036, 0.1251], [0.8649, 0.0964, 0.6251], [0.8649, 0.4036, 0.6251], [0.1602, 0.0428, 0.6072], [0.1602, 0.4572, 0.6072], [0.1854, 0.7500, 0.5600], [0.3146, 0.2500, 0.0600], [0.3398, 0.5428, 0.1072], [0.3398, 0.9572, 0.1072], [0.6602, 0.0428, 0.8928], [0.6602, 0.4572, 0.8928], [0.6854, 0.7500, 0.9400], [0.8146, 0.2500, 0.4400], [0.8398, 0.5428, 0.3928], [0.8398, 0.9572, 0.3928]],
  "density_g_cm3": 8.369,
  "ef_ev_per_atom": -0.87,
  "magmom_total_mub_per_atom": 0.000,
  "spacegroup": "Pnma, No. 62"
}

{
  "formula": "LiP6Se3",
  "functional": "GGA-PBE",
  "state": "optimized geometry",
  "lattice_angstrom": [[3.5823, 0.0000, 0.0000], [-1.7911, 3.1024, 0.0000], [0.0000, 0.0000, 16.2337]],
  "species": ["Li", "P", "P", "P", "P", "P", "P", "Se", "Se", "Se"],
  "frac_coords": [[0.0000, 0.0000, 0.0000], [0.3333, 0.6667, 0.3181], [0.3333, 0.6667, 0.6070], [0.3333, 0.6667, 0.8878], [0.6667, 0.3333, 0.1122], [0.6667, 0.3333, 0.3930], [0.6667, 0.3333, 0.6819], [0.0000, 0.0000, 0.2038], [0.0000, 0.0000, 0.5000], [0.0000, 0.0000, 0.7962]],
  "density_g_cm3": 3.955,
  "magmom_total_mub_per_atom": 0.000,
  "final_energy_ev_per_cell": -42.74,
  "spacegroup": "P-3m1, No. 164"
}

{
  "formula": "SmAlCuPd",
  "functional": "GGA-PBE",
  "state": "optimized geometry",
  "lattice_angstrom": [[6.6676, 0.0000, 0.0000], [0.0000, 6.6676, 0.0000], [0.0000, 0.0000, 6.6676]],
  "species": ["Sm", "Sm", "Sm", "Sm", "Al", "Al", "Al", "Al", "Cu", "Cu", "Cu", "Cu", "Pd", "Pd", "Pd", "Pd"],
  "frac_coords": [[0.0000, 0.0000, 0.0000], [0.0000, 0.5000, 0.5000], [0.5000, 0.0000, 0.5000], [0.5000, 0.5000, 0.0000], [0.0000, 0.0000, 0.5000], [0.0000, 0.5000, 0.0000], [0.5000, 0.0000, 0.0000], [0.5000, 0.5000, 0.5000], [0.2500, 0.2500, 0.2500], [0.2500, 0.7500, 0.7500], [0.7500, 0.2500, 0.7500], [0.7500, 0.7500, 0.2500], [0.2500, 0.2500, 0.7500], [0.2500, 0.7500, 0.2500], [0.7500, 0.2500, 0.2500], [0.7500, 0.7500, 0.7500]],
  "density_g_cm3": 7.783,
  "ef_ev_per_atom": -0.50,
  "magmom_total_mub_per_atom": 0.000,
  "spacegroup": "F-43m, No. 216"
}

{
  "formula": "K2Tl12Sn",
  "functional": "GGA-PBE",
  "state": "optimized geometry",
  "lattice_angstrom": [[7.0664, 0.0000, 0.0000], [0.0000, 7.0664, 0.0000], [0.0000, 0.0000, 20.8850]],
  "species": ["K", "K", "K", "K", "Tl", "Tl", "Tl", "Tl", "Tl", "Tl", "Tl", "Tl", "Tl", "Tl", "Tl", "Tl", "Tl", "Tl", "Tl", "Tl", "Tl", "Tl", "Tl", "Tl", "Tl", "Tl", "Tl", "Tl", "Sn", "Sn"],
  "frac_coords": [[0.2500, 0.7500, 0.2404], [0.2500, 0.7500, 0.7596], [0.7500, 0.2500, 0.2404], [0.7500, 0.2500, 0.7596], [0.9998, 0.0002, 0.4056], [0.0002, 0.9998, 0.5944], [0.0002, 0.5002, 0.4056], [0.9998, 0.4998, 0.5944], [0.0843, 0.5843, 0.0646], [0.0843, 0.9157, 0.9354], [0.2500, 0.2500, 0.1569], [0.2500, 0.2500, 0.3073], [0.2500, 0.2500, 0.6927], [0.2500, 0.2500, 0.8431], [0.4157, 0.5843, 0.9354], [0.4157, 0.9157, 0.0646], [0.4998, 0.9998, 0.4056], [0.5002, 0.0002, 0.5944], [0.5002, 0.4998, 0.4056], [0.4998, 0.5002, 0.5944], [0.5843, 0.0843, 0.9354], [0.5843, 0.4157, 0.0646], [0.7500, 0.7500, 0.1569], [0.7500, 0.7500, 0.3073], [0.7500, 0.7500, 0.6927], [0.7500, 0.7500, 0.8431], [0.9157, 0.0843, 0.0646], [0.9157, 0.4157, 0.9354], [0.2500, 0.7500, 0.5000], [0.7500, 0.2500, 0.5000]],
  "density_g_cm3": 8.438,
  "ef_ev_per_atom": 0.01,
  "magmom_total_mub_per_atom": 0.000,
  "spacegroup": "P4/nbm, No. 125"
}